1.
Crystalline YIr3 at its relaxed geometry, computed with PBE.

a = 2.8945 Å, b = 2.8945 Å, c = 8.0746 Å
α = 90.00°, β = 90.00°, γ = 90.01°
Fractional positions:
Ir  0.5000  0.5000  0.7500
Ir  0.0000  0.0000  0.5272
Ir  0.0000  0.0000  0.9728
Y  0.5000  0.5000  0.2500

Properties
DOS(E_F)	3.87	states/eV/cell
E_tot	-8.353	eV/atom
symmetry	P4/mmm, No. 123

---

2.
Crystalline BaAc2Au at its relaxed geometry, computed with PBE.

a = 3.9898 Å, b = 3.9898 Å, c = 10.4009 Å
α = 90.00°, β = 90.00°, γ = 90.00°
Fractional positions:
Au  0.5000  0.5000  0.0000
Ac  0.0000  0.0000  0.8241
Ac  0.0000  0.0000  0.1759
Ba  0.5000  0.5000  0.5000

Properties
DOS(E_F)	5.85	states/eV/cell
offset from the most stable computed form	0	meV per atom
symmetry	P4/mmm, No. 123

---

3.
Crystalline Rb2PmHgCl6 at its relaxed geometry, computed with PBE.

a = 7.8019 Å, b = 8.3233 Å, c = 11.2589 Å
α = 90.00°, β = 90.00°, γ = 90.00°
Fractional positions:
Rb  0.5000  0.8049  0.7862
Rb  0.0000  0.1951  0.7138
Rb  0.0000  0.1951  0.2862
Rb  0.5000  0.8049  0.2138
Pm  0.0000  0.7759  0.0000
Pm  0.5000  0.2241  0.5000
Cl  0.2577  0.9879  0.5000
Cl  0.0000  0.7892  0.7592
Cl  0.5000  0.2108  0.7408
Cl  0.2423  0.0121  0.0000
Cl  0.5000  0.2108  0.2592
Cl  0.7577  0.0121  0.0000
Cl  0.2616  0.5637  0.0000
Cl  0.7384  0.5637  0.0000
Cl  0.7423  0.9879  0.5000
Cl  0.7616  0.4363  0.5000
Cl  0.2384  0.4363  0.5000
Cl  0.0000  0.7892  0.2408
Hg  0.5000  0.2852  0.0000
Hg  0.0000  0.7148  0.5000

Properties
DOS(E_F)	9.70	states/eV/cell
E_form (uncorrected)	-1.706	eV per atom
symmetry	Pmmn, No. 59

---

4.
Crystalline Lu2VZn at its relaxed geometry, computed with PBE.

a = 4.9487 Å, b = 4.9487 Å, c = 4.9487 Å
α = 60.00°, β = 60.00°, γ = 60.00°
Fractional positions:
V  0.0000  0.0000  0.0000
Lu  0.7500  0.7500  0.7500
Lu  0.2500  0.2500  0.2500
Zn  0.5000  0.5000  0.5000

Properties
DOS(E_F)	3.80	states/eV/cell
offset from the most stable computed form	25	meV per atom
symmetry	Fm-3m, No. 225

---

5.
Crystalline ScBe2Nb at its relaxed geometry, computed with PBE.

a = 4.3278 Å, b = 4.3278 Å, c = 4.3278 Å
α = 60.00°, β = 60.00°, γ = 60.00°
Fractional positions:
Be  0.2500  0.2500  0.2500
Be  0.7500  0.7500  0.7500
Sc  0.0000  0.0000  0.0000
Nb  0.5000  0.5000  0.5000

Properties
DOS(E_F)	0.74	states/eV/cell
offset from the most stable computed form	49	meV per atom
symmetry	Fm-3m, No. 225